(1)
VASP calculation (GGA-PBE) on a relaxed structure of LaZr2Au2.

- DFT formation energy (eV/atom) = -0.347
- final energy (eV/atom) = -6.06
- space group = P4/mbm
- ΔE to the lowest computed polymorph (meV/atom) = 43

a = 8.520 Å, b = 8.520 Å, c = 3.119 Å
α = 90.00°, β = 90.00°, γ = 90.00°
Element x y z (fractional)
La1 0.000 0.000 0.000
La2 0.500 0.500 0.000
Zr1 0.133 0.367 0.000
Zr2 0.367 0.867 0.000
Zr3 0.633 0.133 0.000
Zr4 0.867 0.633 0.000
Au1 0.165 0.665 0.500
Au2 0.335 0.165 0.500
Au3 0.665 0.835 0.500
Au4 0.835 0.335 0.500

=====

(2)
VASP calculation (GGA-PBE) on a relaxed structure of LaZrAu.

- DFT formation energy (eV/atom) = 0.089
- final energy (eV/atom) = -5.49
- space group = P6_3/mmc

a = 5.109 Å, b = 5.109 Å, c = 6.161 Å
α = 90.00°, β = 90.00°, γ = 120.00°
Element x y z (fractional)
La1 0.333 0.667 0.250
La2 0.667 0.333 0.750
Zr1 0.333 0.667 0.750
Zr2 0.667 0.333 0.250
Au1 0.000 0.000 0.000
Au2 0.000 0.000 0.500